Here is a relaxed structure of TmMgCoAu from Alexandria via LeMat-Bulk. Energies are from PBE-GGA.

D(E_F) ... 0.489 states/eV per atom
Calculated formation energy ... -0.344 eV/atom
Symmetry ... F-43m (216)
Electronic total energy ... -17.82 eV/f.u.
Size of the total moment ... 0.190 μB/atom

Geometry as POSCAR:
```
TmMgCoAu
1.0
-0.7035 2.3262 4.0274
-2.7650 -1.8437 3.3289
1.8842 -1.6018 4.0012
Co Mg Tm Au
1 1 1 1
direct
0.5000 0.5000 0.5000
0.2500 0.2500 0.2500
0.7500 0.7500 0.7500
0.0000 0.0000 0.0000
```